# 1
! BaUHgBr6 PBE-GGA optimized geometry; values from VASP
&SYSTEM
  ibrav = 0, nat = 18, ntyp = 4
/
ATOMIC_SPECIES
Br 79.90 Br.upf
Hg 200.59 Hg.upf
Ba 137.33 Ba.upf
U 238.03 U.upf
CELL_PARAMETERS angstrom
-1.6963 -3.2676 7.1693
7.6588 1.4106 -2.0749
-0.9857 15.1974 6.6934
ATOMIC_POSITIONS crystal
Br 0.6510 0.0434 0.3477
Br 0.6077 0.9566 0.8477
Hg 0.0000 0.0000 0.0000
Ba 0.6667 0.3333 0.7500
Br 0.0434 0.3923 0.6523
U 0.3333 0.6667 0.7500
Hg 0.0000 0.0000 0.5000
Br 0.3490 0.9566 0.6523
Br 0.6077 0.6510 0.6523
Br 0.9566 0.3490 0.1523
Br 0.9566 0.6077 0.3477
Br 0.3490 0.3923 0.8477
Br 0.3923 0.0434 0.1523
U 0.6667 0.3333 0.2500
Br 0.0434 0.6510 0.8477
Br 0.3923 0.3490 0.3477
Br 0.6510 0.6077 0.1523
Ba 0.3333 0.6667 0.2500
! E_form (uncorrected) ... -1431.8 meV per atom
! E ... -4.048 eV/atom
! Size of the total moment ... 4.000 μB per cell
! Calculated density ... 3.7 g cm⁻³
! Density of states at the Fermi level ... 14.8 states/eV per cell
! SG ... No. 163

# 2
! BaV2HgBr PBE-GGA optimized geometry; values from VASP
&SYSTEM
  ibrav = 0, nat = 5, ntyp = 4
/
ATOMIC_SPECIES
V 50.94 V.upf
Ba 137.33 Ba.upf
Br 79.90 Br.upf
Hg 200.59 Hg.upf
CELL_PARAMETERS angstrom
6.4236 0.0000 0.0000
0.0000 6.1130 0.0000
0.0000 0.0000 6.4236
ATOMIC_POSITIONS crystal
V 0.0000 0.0000 0.5000
V 0.5000 0.0000 0.0000
Ba 0.0000 0.0000 0.0000
Br 0.0000 0.5000 0.0000
Hg 0.5000 0.5000 0.5000
! E_form (uncorrected) ... 1309.9 meV per atom
! E ... -3.117 eV/atom
! Size of the total moment ... 9.399 μB per cell
! Calculated density ... 3.4 g cm⁻³
! Density of states at the Fermi level ... 30.0 states/eV per cell
! SG ... No. 123